Computed, not measured: a crystal of YTe3 relaxed with PBEsol at the meta-GGA SCAN level of DFT.

Geometry as CIF:
```
data_YTe3
_symmetry_space_group_name_H-M 'P m -3 m'
_symmetry_Int_Tables_number 221
_symmetry_space_group_name_Hall '-P 4 2 3'
_cell_length_a 4.7927
_cell_length_b 4.7927
_cell_length_c 4.7927
_cell_angle_alpha 90.00
_cell_angle_beta 90.00
_cell_angle_gamma 90.00
loop_
_atom_site_label
_atom_site_fract_x
_atom_site_fract_y
_atom_site_fract_z
Y1 0.0000 0.0000 0.0000
Te1 0.0000 0.5000 0.5000
```

Computed, not measured: a crystal of Y2Te relaxed with PBEsol at the meta-GGA SCAN level of DFT.

Geometry as CIF:
```
data_Y2Te
_symmetry_space_group_name_H-M 'I 4/m m m'
_symmetry_Int_Tables_number 139
_symmetry_space_group_name_Hall '-I 4 2'
_cell_length_a 3.8402
_cell_length_b 3.8402
_cell_length_c 11.1044
_cell_angle_alpha 90.00
_cell_angle_beta 90.00
_cell_angle_gamma 90.00
loop_
_atom_site_label
_atom_site_fract_x
_atom_site_fract_y
_atom_site_fract_z
Y1 0.0000 0.0000 0.1558
Te1 0.0000 0.0000 0.5000
```

Computed, not measured: a crystal of Y3Te relaxed with PBEsol at the meta-GGA SCAN level of DFT.

Geometry as CIF:
```
data_Y3Te
_symmetry_space_group_name_H-M 'P 4/m m m'
_symmetry_Int_Tables_number 123
_symmetry_space_group_name_Hall '-P 4 2'
_cell_length_a 3.8370
_cell_length_b 3.8370
_cell_length_c 7.6154
_cell_angle_alpha 90.00
_cell_angle_beta 90.00
_cell_angle_gamma 90.00
loop_
_atom_site_label
_atom_site_fract_x
_atom_site_fract_y
_atom_site_fract_z
Y1 0.0000 0.0000 0.0000
Y2 0.5000 0.5000 0.2761
Te1 0.0000 0.0000 0.5000
```

offset from the most stable computed form: 108 meV per atom

Computed, not measured: a crystal of Y2Te relaxed with PBEsol at the meta-GGA SCAN level of DFT.

Geometry as CIF:
```
data_Y2Te
_symmetry_space_group_name_H-M 'P -3 m 1'
_symmetry_Int_Tables_number 164
_symmetry_space_group_name_Hall '-P 3 2"'
_cell_length_a 3.9386
_cell_length_b 3.9386
_cell_length_c 6.7948
_cell_angle_alpha 90.00
_cell_angle_beta 90.00
_cell_angle_gamma 120.00
loop_
_atom_site_label
_atom_site_fract_x
_atom_site_fract_y
_atom_site_fract_z
Y1 0.3333 0.6667 0.2961
Te1 0.0000 0.0000 0.0000
```

Computed, not measured: a crystal of Y5Te relaxed with PBEsol at the meta-GGA SCAN level of DFT.

Geometry as CIF:
```
data_Y5Te
_symmetry_space_group_name_H-M 'C m m m'
_symmetry_Int_Tables_number 65
_symmetry_space_group_name_Hall '-C 2 2'
_cell_length_a 4.6809
_cell_length_b 14.8471
_cell_length_c 4.8189
_cell_angle_alpha 90.00
_cell_angle_beta 90.00
_cell_angle_gamma 90.00
loop_
_atom_site_label
_atom_site_fract_x
_atom_site_fract_y
_atom_site_fract_z
Y1 0.0000 0.0000 0.0000
Y2 0.0000 0.1612 0.5000
Y3 0.0000 0.3334 0.0000
Te1 0.0000 0.5000 0.5000
```

offset from the most stable computed form: 123 meV per atom

Computed, not measured: a crystal of YTe5 relaxed with PBEsol at the meta-GGA SCAN level of DFT.

Geometry as CIF:
```
data_YTe5
_symmetry_space_group_name_H-M 'C m m m'
_symmetry_Int_Tables_number 65
_symmetry_space_group_name_Hall '-C 2 2'
_cell_length_a 3.9524
_cell_length_b 18.5265
_cell_length_c 4.6991
_cell_angle_alpha 90.00
_cell_angle_beta 90.00
_cell_angle_gamma 90.00
loop_
_atom_site_label
_atom_site_fract_x
_atom_site_fract_y
_atom_site_fract_z
Y1 0.0000 0.0000 0.0000
Te1 0.0000 0.1671 0.5000
Te2 0.0000 0.3493 0.0000
Te3 0.0000 0.5000 0.5000
```

Computed energy relative to the elements, uncorrected, in the same sequence as the records: -0.436; -0.880; -0.627; -0.940; -0.281; -0.419 eV/atom.